No. 1
DFT (PBE) results for a relaxed structure of CaSmDySc.

The density is 5.211 g cm⁻³. For the total energy, the calculation gives -4.25 eV/atom. For the total magnetization, the calculation gives 0.00 μB per formula unit. The value obtained for the formation enthalpy at 0 K is 0.636 eV/f.u. The volume comes out at 31.7 Å³ per atom.

It has space group F-43m (No. 216), with a = 7.975 Å, b = 7.975 Å, c = 7.975 Å, α = 90.00°, β = 90.00° and γ = 90.00°. Symmetry generates all atoms from Ca at (0.000, 0.000, 0.000), Sm at (0.250, 0.250, 0.250), Dy at (0.250, 0.250, 0.750) and Sc at (0.000, 0.000, 0.500).

No. 2
DFT (PBE) results for a relaxed structure of ScTiV2Mo.

The density is 5.321 g cm⁻³. For the total energy, the calculation gives -7.38 eV/atom. For the total magnetization, the calculation gives 0.09 μB per formula unit. The value obtained for the formation enthalpy at 0 K is 6.406 eV/f.u. The volume comes out at 18.1 Å³ per atom.

It has space group P4/mmm (No. 123), with a = 4.347 Å, b = 4.347 Å, c = 4.800 Å, α = 90.00°, β = 90.00° and γ = 90.00°. Symmetry generates all atoms from Sc at (0.000, 0.000, 0.000), Ti at (0.000, 0.000, 0.500), V at (0.000, 0.500, 0.500) and Mo at (0.500, 0.500, 0.000).

No. 3
DFT (PBE) results for a relaxed structure of CsCr3Se.

The density is 4.164 g cm⁻³. For the polymorph energy (0 for the lowest one), the calculation gives 0 meV/atom. For the total energy, the calculation gives -5.67 eV/atom. For the total magnetization, the calculation gives 14.09 μB per formula unit. The calculation puts the raw formation energy at 0.972 eV/atom. The volume comes out at 29.3 Å³ per atom.

It has space group Pm-3m (No. 221), with a = 5.274 Å, b = 5.274 Å, c = 5.274 Å, α = 90.00°, β = 90.00° and γ = 90.00°. Symmetry generates all atoms from Cs at (0.000, 0.000, 0.000), Cr at (0.000, 0.500, 0.500) and Se at (0.500, 0.500, 0.500).

No. 4
DFT (PBE) results for a relaxed structure of TmZrSc.

The density is 6.640 g cm⁻³. For the polymorph energy (0 for the lowest one), the calculation gives 37 meV/atom. For the total energy, the calculation gives -6.38 eV/atom. For the total magnetization, the calculation gives 0.73 μB per formula unit. The value obtained for the formation enthalpy at 0 K is 0.215 eV/f.u. The volume comes out at 25.4 Å³ per atom.

It has space group P-6m2 (No. 187), with a = 5.1842 Å, b = 5.1842 Å, c = 3.2781 Å, α = 90.00°, β = 90.00° and γ = 120.00°. Symmetry generates all atoms from Tm at (0.0000, 0.0000, 0.0000), Zr at (0.6667, 0.3333, 0.5000) and Sc at (0.3333, 0.6667, 0.5000).

No. 5
DFT (PBE) results for a relaxed structure of Ti3InGa.

The density is 5.581 g cm⁻³. For the polymorph energy (0 for the lowest one), the calculation gives 238 meV/atom. For the total energy, the calculation gives -5.80 eV/atom. For the total magnetization, the calculation gives 0.00 μB per formula unit. The value obtained for the formation enthalpy at 0 K is 0.441 eV/f.u. The volume comes out at 19.5 Å³ per atom.

It has space group Cmcm (No. 63), with a = 4.959 Å, b = 14.809 Å, c = 5.317 Å, α = 90.00°, β = 90.00° and γ = 90.00°. Symmetry generates all atoms from Ti at (0.000, 0.000, 0.000), Ti at (0.247, 0.149, 0.250), In at (0.000, 0.173, 0.750) and Ga at (0.000, 0.466, 0.250).

No. 6
DFT (PBE) results for a relaxed structure of HgPb2.

The density is 11.462 g cm⁻³. For the polymorph energy (0 for the lowest one), the calculation gives 15 meV/atom. For the total energy, the calculation gives -2.54 eV/atom. For the total magnetization, the calculation gives 0.00 μB per formula unit. The value obtained for the formation enthalpy at 0 K is 0.084 eV/f.u. The volume comes out at 29.7 Å³ per atom.

It has space group Cmcm (No. 63), with a = 3.562 Å, b = 18.300 Å, c = 5.468 Å, α = 90.00°, β = 90.00° and γ = 90.00°. Symmetry generates all atoms from Hg at (0.000, 0.112, 0.250), Pb at (0.000, 0.215, 0.750) and Pb at (0.000, 0.447, 0.250).

No. 7
DFT (PBE) results for a relaxed structure of PaTl2Ag2O6.

The density is 7.550 g cm⁻³. For the total energy, the calculation gives -5.67 eV/atom. For the total magnetization, the calculation gives 0.00 μB per formula unit. The calculation puts the raw formation energy at -1.152 eV/atom. The volume comes out at 19.0 Å³ per atom.

It has space group R-3m (No. 166, hexagonal axes), with a = 6.4787 Å, b = 6.4787 Å, c = 17.2725 Å, α = 90.00°, β = 90.00° and γ = 120.00°. Symmetry generates all atoms from Pa at (0.0000, 0.0000, 0.0000), Tl at (0.0000, 0.0000, 0.2095), Ag at (0.0000, 0.0000, 0.4115) and O at (0.0360, 0.5180, 0.7450).

No. 8
DFT (PBE) results for a relaxed structure of CsPmGe2.

The density is 5.410 g cm⁻³. For the total energy, the calculation gives -4.13 eV/atom. For the total magnetization, the calculation gives 0.00 μB per formula unit. The value obtained for the formation enthalpy at 0 K is -1.683 eV/f.u. The volume comes out at 32.5 Å³ per atom.

It has space group P4/mmm (No. 123), with a = 4.043 Å, b = 4.043 Å, c = 7.946 Å, α = 90.00°, β = 90.00° and γ = 90.00°. Symmetry generates all atoms from Cs at (0.000, 0.000, 0.000), Pm at (0.000, 0.000, 0.500) and Ge at (0.500, 0.500, 0.343).

Repeat the eighth record exactly.
DFT (PBE) results for a relaxed structure of CsPmGe2.

The density is 5.410 g cm⁻³. For the total energy, the calculation gives -4.13 eV/atom. For the total magnetization, the calculation gives 0.00 μB per formula unit. The value obtained for the formation enthalpy at 0 K is -1.683 eV/f.u. The volume comes out at 32.5 Å³ per atom.

It has space group P4/mmm (No. 123), with a = 4.043 Å, b = 4.043 Å, c = 7.946 Å, α = 90.00°, β = 90.00° and γ = 90.00°. Symmetry generates all atoms from Cs at (0.000, 0.000, 0.000), Pm at (0.000, 0.000, 0.500) and Ge at (0.500, 0.500, 0.343).